Entry 1:
Entry from Alexandria: an optimized crystal structure of YTc2W (PBE-GGA).

```
YTc2W
1.0
-0.7445 -2.8380 1.3251
3.5383 -2.1321 -2.5785
2.8719 0.7839 3.2926
Tc W Y
2 1 1
Cartesian
0.0000 0.0000 0.0000
1.3969 -2.4851 -0.6267
1.0637 -1.0271 2.3088
3.2051 -0.6741 0.3571
```



Entry 2:
Entry from Alexandria: an optimized crystal structure of Sr2YGaBi (PBE-GGA).

```
Sr2YGaBi
1.0
6.3327 0.0000 0.0000
0.0000 5.5008 0.0000
0.0000 0.0000 6.3327
Y Sr Bi Ga
1 2 1 1
Cartesian
3.1664 2.7504 3.1664
0.0000 0.0000 3.1664
3.1664 0.0000 0.0000
0.0000 0.0000 0.0000
0.0000 2.7504 0.0000
```



Number 1: electronic total energy -38.54 eV for the cell shown, ΔH_f (0 K) 0.403 eV/atom. Number 2: electronic total energy -15.22 eV for the cell shown, ΔH_f (0 K) 0.303 eV/atom.